PBE-GGA Ba2Sr3Ga4, relaxed; E_tot = -2.677 eV per atom; volume = 659.8 Å³ per cell; space group = P2_1/c; calculated formation energy = -0.34 eV per atom
1.0
8.873 0.384 0.000
-2.500 8.397 0.000
0.000 0.000 8.743
Ba Sr Ga
4 6 8
direct
0.622 0.206 0.319
0.878 0.794 0.819
0.378 0.794 0.681
0.122 0.206 0.181
0.000 0.500 0.500
0.500 0.500 0.000
0.753 0.239 0.814
0.747 0.761 0.314
0.247 0.761 0.186
0.253 0.239 0.686
0.911 0.088 0.524
0.589 0.912 0.024
0.089 0.912 0.476
0.411 0.088 0.976
0.903 0.501 0.102
0.597 0.499 0.602
0.097 0.499 0.898
0.403 0.501 0.398



PBE-GGA LiCrI2N, relaxed; E_tot = -4.813 eV per atom; volume = 118.0 Å³ per cell; polymorph energy (0 for the lowest one) = 0.000 kcal/mol of atoms; space group = P4/mmm; uncorrected formation energy = -21.2 kJ/mol of atoms
1.0
5.666 0.000 0.000
0.000 5.666 0.000
0.000 0.000 3.675
I Cr Li N
2 1 1 1
direct
0.000 0.500 0.000
0.500 0.000 0.000
0.000 0.000 0.000
0.500 0.500 0.500
0.000 0.000 0.500



PBE-GGA Sc2Mo, relaxed; E_tot = -7.678 eV per atom; volume = 61.5 Å³ per cell; polymorph energy (0 for the lowest one) = 3.215 kcal/mol of atoms; space group = Fmmm; calculated formation energy = 0.15 eV per atom
1.0
0.000 2.437 7.194
1.754 0.000 7.194
1.754 2.437 0.000
Sc Mo
2 1
direct
0.148 0.148 0.852
0.852 0.852 0.148
0.500 0.500 0.500



PBE-GGA ScCo2TcC, relaxed; E_tot = -8.243 eV per atom; volume = 60.8 Å³ per cell; space group = P4/mmm; calculated formation energy = -0.22 eV per atom
1.0
-2.178 -1.537 2.771
-0.126 -3.318 -1.939
3.385 -1.271 1.956
Sc C Co Tc
1 1 2 1
direct
0.500 0.500 0.500
0.000 0.000 0.000
0.000 0.500 0.000
0.500 0.000 0.000
0.000 0.000 0.500



PBE-GGA Mn2SbRu2, relaxed; E_tot = -7.969 eV per atom; volume = 156.1 Å³ per cell; space group = P4/mbm; uncorrected formation energy = 22.5 kJ/mol of atoms
1.0
-0.955 1.922 -6.863
-5.111 -5.011 -0.692
-2.085 2.009 0.852
Sb Mn Ru
2 4 4
direct
0.000 0.000 0.000
0.500 0.500 0.000
0.159 0.659 0.500
0.659 0.841 0.500
0.841 0.341 0.500
0.341 0.159 0.500
0.367 0.867 0.000
0.867 0.633 0.000
0.633 0.133 0.000
0.133 0.367 0.000



PBE-GGA Dy3Ho3TmS8, relaxed; E_tot = -6.382 eV per atom; volume = 331.6 Å³ per cell; space group = R-3m; uncorrected formation energy = -197.4 kJ/mol of atoms
1.0
-5.307 0.535 5.645
-0.015 -6.124 -4.776
5.670 0.813 5.252
Dy Ho Tm S
3 3 1 8
direct
0.000 0.000 0.000
0.000 0.500 0.000
0.500 0.500 0.000
0.500 0.000 0.500
0.500 0.500 0.500
0.000 0.500 0.500
0.000 0.000 0.500
0.251 0.501 0.252
0.749 0.499 0.748
0.751 0.503 0.253
0.249 0.497 0.747
0.751 0.001 0.253
0.249 0.999 0.747
0.250 0.001 0.253
0.750 0.999 0.747